Entry 1:
Compound: Ac2Sn4GeAu3
Source: Alexandria via LeMat-Bulk
Functional: PBE
Structure: optimized geometry

**Energy of formation from the pure elements**: -0.538 eV/atom
**Symmetry**: No. 115

Unit cell a=4.9719 b=4.9719 c=10.6248 alpha=90.00 beta=90.00 gamma=90.00
Sites, in units of the cell vectors:
Ac  0.0000  0.5000  0.2381
Ac  0.5000  0.0000  0.7619
Sn  0.0000  0.0000  0.5000
Sn  0.0000  0.5000  0.8788
Sn  0.5000  0.0000  0.1212
Sn  0.5000  0.5000  0.5000
Ge  0.5000  0.5000  0.0000
Au  0.0000  0.0000  0.0000
Au  0.0000  0.5000  0.6271
Au  0.5000  0.0000  0.3729

---

Entry 2:
Compound: Ac2Sn3GeAu4
Source: Alexandria via LeMat-Bulk
Functional: PBE
Structure: optimized geometry

**Energy of formation from the pure elements**: -0.618 eV/atom
**Symmetry**: No. 115

Unit cell a=4.7699 b=4.7699 c=11.0574 alpha=90.00 beta=90.00 gamma=90.00
Sites, in units of the cell vectors:
Ac  0.0000  0.5000  0.2486
Ac  0.5000  0.0000  0.7514
Sn  0.0000  0.5000  0.8690
Sn  0.5000  0.0000  0.1310
Sn  0.5000  0.5000  0.5000
Ge  0.0000  0.0000  0.5000
Au  0.0000  0.0000  0.0000
Au  0.0000  0.5000  0.6254
Au  0.5000  0.0000  0.3746
Au  0.5000  0.5000  0.0000

---

Entry 3:
Compound: Ac2SnGe4Au3
Source: Alexandria via LeMat-Bulk
Functional: PBE
Structure: optimized geometry

**Energy of formation from the pure elements**: -0.509 eV/atom
**Symmetry**: No. 115

Unit cell a=4.7356 b=4.7356 c=10.4816 alpha=90.00 beta=90.00 gamma=90.00
Sites, in units of the cell vectors:
Ac  0.0000  0.5000  0.2379
Ac  0.5000  0.0000  0.7621
Sn  0.0000  0.0000  0.5000
Ge  0.0000  0.0000  0.0000
Ge  0.0000  0.5000  0.6393
Ge  0.5000  0.0000  0.3607
Ge  0.5000  0.5000  0.0000
Au  0.0000  0.5000  0.8816
Au  0.5000  0.0000  0.1184
Au  0.5000  0.5000  0.5000

---

Entry 4:
Compound: SrAcGeAu
Source: Alexandria via LeMat-Bulk
Functional: PBE
Structure: optimized geometry

**Energy of formation from the pure elements**: -0.718 eV/atom
**Symmetry**: No. 216

Unit cell a=5.4904 b=5.4904 c=5.4904 alpha=60.00 beta=60.00 gamma=60.00
Sites, in units of the cell vectors:
Sr  0.0000  0.0000  0.0000
Ac  0.5000  0.5000  0.5000
Ge  0.7500  0.7500  0.7500
Au  0.2500  0.2500  0.2500